Here is a relaxed Sc2ICl crystal from Alexandria. Energies are from PBE.

Values from the calculation:
raw formation energy: -0.5598 eV per atom

a b c (Å): 8.569 8.569 8.569
angles (deg): 25.41 25.41 25.41
Sites, in units of the cell vectors:
Sc 0.109 0.109 0.109
Sc 0.891 0.891 0.891
I 0.000 0.000 0.000
Cl 0.500 0.500 0.500


Here is a relaxed ReSeI2O crystal from Alexandria. Energies are from PBE.

Values from the calculation:
raw formation energy: 0.1277 eV per atom

a b c (Å): 5.562 5.562 3.770
angles (deg): 90.00 90.00 90.00
Sites, in units of the cell vectors:
Re 0.000 0.000 0.000
Se 0.500 0.500 0.500
I 0.000 0.500 0.000
I 0.500 0.000 0.000
O 0.000 0.000 0.500


Here is a relaxed Al2TlSnSe6 crystal from Alexandria. Energies are from PBE.

Values from the calculation:
raw formation energy: -0.4767 eV per atom

a b c (Å): 10.059 10.059 7.277
angles (deg): 110.15 110.15 90.62
Sites, in units of the cell vectors:
Al 0.153 0.295 0.196
Al 0.295 0.153 0.696
Al 0.705 0.847 0.304
Al 0.847 0.705 0.804
Tl 0.223 0.777 0.750
Tl 0.777 0.223 0.250
Sn 0.303 0.697 0.250
Sn 0.697 0.303 0.750
Se 0.071 0.601 0.908
Se 0.113 0.222 0.457
Se 0.222 0.113 0.957
Se 0.309 0.518 0.433
Se 0.399 0.929 0.592
Se 0.482 0.691 0.067
Se 0.518 0.309 0.933
Se 0.601 0.071 0.408
Se 0.691 0.482 0.567
Se 0.778 0.887 0.043
Se 0.887 0.778 0.543
Se 0.929 0.399 0.092


Here is a relaxed CsTl2ZnCu crystal from Alexandria. Energies are from PBE.

Values from the calculation:
DFT formation energy: 0.161 eV per atom

a b c (Å): 5.453 5.453 5.170
angles (deg): 90.00 90.00 90.00
Sites, in units of the cell vectors:
Cs 0.000 0.000 0.000
Tl 0.000 0.500 0.500
Tl 0.500 0.000 0.500
Zn 0.500 0.500 0.000
Cu 0.500 0.500 0.500


Here is a relaxed Rb2NaYbF6 crystal from Alexandria. Energies are from PBE.

Values from the calculation:
raw formation energy: -2.8864 eV per atom

a b c (Å): 6.326 6.326 6.326
angles (deg): 60.00 60.00 60.00
Sites, in units of the cell vectors:
Rb 0.250 0.250 0.250
Rb 0.750 0.750 0.750
Na 0.000 0.000 0.000
Yb 0.500 0.500 0.500
F 0.254 0.254 0.746
F 0.254 0.746 0.254
F 0.254 0.746 0.746
F 0.746 0.254 0.254
F 0.746 0.254 0.746
F 0.746 0.746 0.254


Here is a relaxed MgScMo crystal from Alexandria. Energies are from PBE.

Values from the calculation:
DFT formation energy: 0.201 eV per atom

a b c (Å): 7.396 7.396 7.396
angles (deg): 157.75 157.75 31.67
Sites, in units of the cell vectors:
Mg 0.000 0.000 0.000
Sc 0.687 0.687 0.000
Mo 0.342 0.342 0.000


Number 1: DOS at the Fermi energy 2.362 states/eV/cell, VASP energy -18.3 eV/cell. Number 2: DOS at the Fermi energy 4.430 states/eV/cell, VASP energy -23.4 eV/cell. Number 3: DOS at the Fermi energy 3.884 states/eV/cell, VASP energy -79.1 eV/cell. Number 4: DOS at the Fermi energy 2.371 states/eV/cell, VASP energy -10.1 eV/cell. Number 5: DOS at the Fermi energy 21.596 states/eV/cell, VASP energy -44.9 eV/cell. Number 6: DOS at the Fermi energy 2.645 states/eV/cell, VASP energy -18.2 eV/cell.